1.
The following is a PBE-GGA calculation of a relaxed structure of Hf3CrSb, from the Alexandria database.

Calculated values
* total magnetic moment: 0.5 μB per cell
* ΔE_f (raw): 0.392 eV/atom
* energy above the most stable polymorph in this dataset: 0.00 eV per formula unit
* DFT total energy: -8.329 eV/atom

Geometry as POSCAR:
```
Hf3CrSb
1.0
4.8236 0.0000 0.0000
0.0000 4.8236 0.0000
0.0000 0.0000 4.8236
Hf Cr Sb
3 1 1
Direct
0.0000 0.0000 0.5000 Hf
0.0000 0.5000 0.0000 Hf
0.5000 0.0000 0.0000 Hf
0.0000 0.0000 0.0000 Cr
0.5000 0.5000 0.5000 Sb
```

---

2.
The following is a PBE-GGA calculation of a relaxed structure of MgBRh4, from the Alexandria database.

Calculated values
* total magnetic moment: 0.0 μB per cell
* DFT total energy: -6.168 eV/atom

Geometry as POSCAR:
```
MgBRh4
1.0
3.7595 0.0000 0.0000
0.0000 3.7595 0.0000
0.0000 0.0000 6.4127
Mg B Rh
1 1 4
Direct
0.0000 0.0000 0.0000 Mg
0.5000 0.5000 0.5000 B
0.0000 0.5000 0.3003 Rh
0.0000 0.5000 0.6997 Rh
0.5000 0.0000 0.3003 Rh
0.5000 0.0000 0.6997 Rh
```